Model A:
The following is a GGA-PBE calculation of an optimized crystal structure of ZrTlPb2, from Alexandria via LeMat-Bulk.

Summary:
Magnetic moment, μB/f.u.: 0.000
N(E_F), states/eV per cell: 2.5

abc: 5.116 5.116 4.056
angles: 90.00 90.00 90.00
Element x y z (fractional)
1 Zr 0.000 0.000 0.000
2 Tl 0.500 0.500 0.000
3 Pb 0.000 0.500 0.500
4 Pb 0.500 0.000 0.500

---

Model B:
The following is a GGA-PBE calculation of an optimized crystal structure of ZrTlPb2, from Alexandria via LeMat-Bulk.

Summary:
Magnetic moment, μB/f.u.: 0.000
N(E_F), states/eV per cell: 3.0

abc: 3.344 3.344 9.996
angles: 90.00 90.00 90.00
Element x y z (fractional)
1 Zr 0.000 0.000 0.000
2 Tl 0.000 0.000 0.500
3 Pb 0.500 0.500 0.225
4 Pb 0.500 0.500 0.775

---

Model C:
The following is a GGA-PBE calculation of an optimized crystal structure of ZrTlPb2, from Alexandria via LeMat-Bulk.

Summary:
Magnetic moment, μB/f.u.: 0.000
N(E_F), states/eV per cell: 5.6

abc: 4.591 4.591 10.036
angles: 90.00 90.00 90.00
Element x y z (fractional)
1 Zr 0.000 0.000 0.000
2 Zr 0.500 0.500 0.500
3 Tl 0.000 0.000 0.500
4 Tl 0.500 0.500 0.000
5 Pb 0.000 0.500 0.250
6 Pb 0.000 0.500 0.750
7 Pb 0.500 0.000 0.250
8 Pb 0.500 0.000 0.750

---

Model D:
The following is a GGA-PBE calculation of an optimized crystal structure of ZrTlPb2, from Alexandria via LeMat-Bulk.

Summary:
Magnetic moment, μB/f.u.: 0.863
N(E_F), states/eV per cell: 12.2

abc: 7.652 7.652 7.652
angles: 90.00 90.00 90.00
Element x y z (fractional)
1 Zr 0.000 0.000 0.000
2 Zr 0.000 0.500 0.500
3 Zr 0.500 0.000 0.500
4 Zr 0.500 0.500 0.000
5 Tl 0.000 0.000 0.500
6 Tl 0.000 0.500 0.000
7 Tl 0.500 0.000 0.000
8 Tl 0.500 0.500 0.500
9 Pb 0.250 0.250 0.250
10 Pb 0.250 0.250 0.750
11 Pb 0.250 0.750 0.250
12 Pb 0.250 0.750 0.750
13 Pb 0.750 0.250 0.250
14 Pb 0.750 0.250 0.750
15 Pb 0.750 0.750 0.250
16 Pb 0.750 0.750 0.750

---

Energies in kJ/mol of atoms, measured from the most stable structure: model A 13.2; model B 0.0; model C 9.9; model D 30.6.